{"formula": "Ba3Ta2FeO9", "functional": "GGA+U", "state": "relaxed", "lattice": [[-2.5354, 3.6706, 3.7720], [-3.2642, -2.9696, -3.8283], [-0.6946, -5.3644, 4.7534]], "species": ["Fe", "O", "Ba", "O", "Ba", "O", "O", "Ta", "O", "O", "Ta", "O", "O", "Ba", "O"], "frac_coords": [[0.0000, 0.0000, 0.5000], [0.3446, 0.1723, 0.6760], [0.6667, 0.3333, 0.3380], [0.5000, 0.5000, 0.0000], [0.3333, 0.6667, 0.6620], [0.5000, 0.0000, 0.0000], [0.8277, 0.1723, 0.6760], [0.6667, 0.3333, 0.8256], [0.0000, 0.5000, 0.0000], [0.1723, 0.3446, 0.3240], [0.3333, 0.6667, 0.1744], [0.1723, 0.8277, 0.3240], [0.6554, 0.8277, 0.3240], [0.0000, 0.0000, 0.0000], [0.8277, 0.6554, 0.6760]], "magnetic_moment_mub_per_cell": 4.00, "sg": "P-3m1, No. 164", "final_energy_ev_per_cell": -121.2}